1.
Compound: CePmGeRh
Source: Alexandria
Functional: PBE
Structure: optimized geometry

Total energy ... -6.255 eV/atom

Cell and atoms, written as extended XYZ:
```
4
Lattice="0.0000 3.5852 3.5852 3.5852 0.0000 3.5852 3.5852 3.5852 0.0000" Properties=species:S:1:pos:R:3 pbc="T T T"
Ce 0.0000 0.0000 0.0000
Pm 3.5852 3.5852 3.5852
Ge 5.3779 5.3779 5.3779
Rh 1.7926 1.7926 1.7926
```

2.
Compound: AcLa2SnN4
Source: Alexandria
Functional: PBE
Structure: optimized geometry

Formation energy (no corrections) ... -0.8144 eV per atom

Cell and atoms, written as extended XYZ:
```
16
Lattice="1.9095 -6.2062 0.0000 1.9095 6.2062 0.0000 0.0000 0.0000 12.5838" Properties=species:S:1:pos:R:3 pbc="T T T"
Ac 1.9095 4.9115 9.4378
Ac 1.9095 -4.9115 3.1459
La 1.9095 1.5912 6.7934
La 1.9095 1.5912 12.0823
La 1.9095 -1.5912 0.5015
La 1.9095 -1.5912 5.7904
Sn 1.9095 4.2099 3.1459
Sn 1.9095 -4.2099 9.4378
N 0.0000 0.0000 0.0000
N 0.0000 0.0000 6.2919
N 1.9095 2.7796 1.5913
N 1.9095 2.7796 4.7006
N 1.9095 0.8801 9.4378
N 1.9095 -0.8801 3.1459
N 1.9095 -2.7796 7.8831
N 1.9095 -2.7796 10.9925
```

What did the second record say?
Compound: AcLa2SnN4
Source: Alexandria
Functional: PBE
Structure: optimized geometry

Formation energy (no corrections) ... -0.8144 eV per atom

Cell and atoms, written as extended XYZ:
```
16
Lattice="1.9095 -6.2062 0.0000 1.9095 6.2062 0.0000 0.0000 0.0000 12.5838" Properties=species:S:1:pos:R:3 pbc="T T T"
Ac 1.9095 4.9115 9.4378
Ac 1.9095 -4.9115 3.1459
La 1.9095 1.5912 6.7934
La 1.9095 1.5912 12.0823
La 1.9095 -1.5912 0.5015
La 1.9095 -1.5912 5.7904
Sn 1.9095 4.2099 3.1459
Sn 1.9095 -4.2099 9.4378
N 0.0000 0.0000 0.0000
N 0.0000 0.0000 6.2919
N 1.9095 2.7796 1.5913
N 1.9095 2.7796 4.7006
N 1.9095 0.8801 9.4378
N 1.9095 -0.8801 3.1459
N 1.9095 -2.7796 7.8831
N 1.9095 -2.7796 10.9925
```

What did the first record say?
Compound: CePmGeRh
Source: Alexandria
Functional: PBE
Structure: optimized geometry

Total energy ... -6.255 eV/atom

Cell and atoms, written as extended XYZ:
```
4
Lattice="0.0000 3.5852 3.5852 3.5852 0.0000 3.5852 3.5852 3.5852 0.0000" Properties=species:S:1:pos:R:3 pbc="T T T"
Ce 0.0000 0.0000 0.0000
Pm 3.5852 3.5852 3.5852
Ge 5.3779 5.3779 5.3779
Rh 1.7926 1.7926 1.7926
```